[1]
CaBe2Cl after structural relaxation. Source: Alexandria via LeMat-Bulk, functional GGA-PBE.

Cell and atoms, written as POSCAR:
```
CaBe2Cl
1.0
4.119 0.000 0.000
0.000 5.412 0.000
0.000 0.000 8.584
Ca Be Cl
2 4 2
direct
0.000 0.000 0.000 Ca
0.500 0.500 0.500 Ca
0.000 0.000 0.668 Be
0.000 0.500 0.210 Be
0.500 0.000 0.710 Be
0.500 0.500 0.168 Be
0.000 0.500 0.707 Cl
0.500 0.000 0.207 Cl
```

Output
SG: Imm2
magnetization: 0.000 μB/atom
formation energy without anion corrections: 106 meV/atom
theoretical density: 1.62 g/cm³
raw total energy: -10.9 eV/f.u.



[2]
CaBe2Cl after structural relaxation. Source: Alexandria via LeMat-Bulk, functional GGA-PBE.

Cell and atoms, written as POSCAR:
```
CaBe2Cl
1.0
4.358 0.000 0.000
0.000 4.563 0.000
0.000 0.000 4.928
Ca Be Cl
1 2 1
direct
0.000 0.000 0.000 Ca
0.500 0.500 0.266 Be
0.500 0.500 0.734 Be
0.000 0.000 0.500 Cl
```

Output
SG: Pmmm
magnetization: 0.000 μB/atom
formation energy without anion corrections: 315 meV/atom
theoretical density: 1.59 g/cm³
raw total energy: -10.0 eV/f.u.



[3]
Ca2BeCl after structural relaxation. Source: Alexandria via LeMat-Bulk, functional GGA-PBE.

Cell and atoms, written as POSCAR:
```
Ca2BeCl
1.0
7.421 0.000 0.000
0.000 7.421 0.000
0.000 0.000 8.243
Ca Be Cl
8 4 4
direct
0.247 0.250 0.125 Ca
0.250 0.747 0.375 Ca
0.250 0.753 0.875 Ca
0.253 0.250 0.625 Ca
0.747 0.750 0.625 Ca
0.750 0.247 0.875 Ca
0.750 0.253 0.375 Ca
0.753 0.750 0.125 Ca
0.000 0.000 0.500 Be
0.000 0.500 0.750 Be
0.500 0.000 0.250 Be
0.500 0.500 0.000 Be
0.000 0.000 0.000 Cl
0.000 0.500 0.250 Cl
0.500 0.000 0.750 Cl
0.500 0.500 0.500 Cl
```

Output
SG: I-42d
magnetization: 0.000 μB/atom
formation energy without anion corrections: -381 meV/atom
theoretical density: 1.82 g/cm³
raw total energy: -11.1 eV/f.u.



[4]
CaBeCl3 after structural relaxation. Source: Alexandria via LeMat-Bulk, functional GGA-PBE.

Cell and atoms, written as POSCAR:
```
CaBeCl3
1.0
4.623 0.000 0.000
0.000 4.623 0.000
0.000 0.000 4.623
Ca Be Cl
1 1 3
direct
0.000 0.000 0.000 Ca
0.500 0.500 0.500 Be
0.000 0.500 0.500 Cl
0.500 0.000 0.500 Cl
0.500 0.500 0.000 Cl
```

Output
SG: Pm-3m
magnetization: 0.000 μB/atom
formation energy without anion corrections: -1089 meV/atom
theoretical density: 2.61 g/cm³
raw total energy: -16.7 eV/f.u.



[5]
CaBeCl3 after structural relaxation. Source: Alexandria via LeMat-Bulk, functional GGA-PBE.

Cell and atoms, written as POSCAR:
```
CaBeCl3
1.0
5.324 0.000 0.000
0.000 5.324 0.000
0.000 0.000 5.324
Ca Be Cl
1 1 3
direct
0.000 0.000 0.000 Ca
0.500 0.500 0.500 Be
0.000 0.000 0.500 Cl
0.000 0.500 0.000 Cl
0.500 0.000 0.000 Cl
```

Output
SG: Pm-3m
magnetization: 0.200 μB/atom
formation energy without anion corrections: -834 meV/atom
theoretical density: 1.71 g/cm³
raw total energy: -15.4 eV/f.u.



[6]
Ca2Be2Cl after structural relaxation. Source: Alexandria via LeMat-Bulk, functional GGA-PBE.

Cell and atoms, written as POSCAR:
```
Ca2Be2Cl
1.0
8.054 0.000 0.000
0.000 8.054 0.000
0.000 0.000 3.558
Ca Be Cl
4 4 2
direct
0.193 0.307 0.000 Ca
0.307 0.807 0.000 Ca
0.693 0.193 0.000 Ca
0.807 0.693 0.000 Ca
0.087 0.587 0.500 Be
0.413 0.087 0.500 Be
0.587 0.913 0.500 Be
0.913 0.413 0.500 Be
0.000 0.000 0.500 Cl
0.500 0.500 0.500 Cl
```

Output
SG: P4/mbm
magnetization: 0.061 μB/atom
formation energy without anion corrections: -40 meV/atom
theoretical density: 1.92 g/cm³
raw total energy: -13.5 eV/f.u.



[7]
CaBe2Cl after structural relaxation. Source: Alexandria via LeMat-Bulk, functional GGA-PBE.

Cell and atoms, written as POSCAR:
```
CaBe2Cl
1.0
6.668 0.000 0.000
0.000 6.668 0.000
0.000 0.000 6.668
Ca Be Cl
4 8 4
direct
0.000 0.000 0.000 Ca
0.000 0.500 0.500 Ca
0.500 0.000 0.500 Ca
0.500 0.500 0.000 Ca
0.000 0.000 0.500 Be
0.000 0.500 0.000 Be
0.250 0.250 0.250 Be
0.250 0.750 0.750 Be
0.500 0.000 0.000 Be
0.500 0.500 0.500 Be
0.750 0.250 0.750 Be
0.750 0.750 0.250 Be
0.250 0.250 0.750 Cl
0.250 0.750 0.250 Cl
0.750 0.250 0.250 Cl
0.750 0.750 0.750 Cl
```

Output
SG: F-43m
magnetization: 0.075 μB/atom
formation energy without anion corrections: 368 meV/atom
theoretical density: 2.10 g/cm³
raw total energy: -9.8 eV/f.u.



[8]
CaBeCl after structural relaxation. Source: Alexandria via LeMat-Bulk, functional GGA-PBE.

Cell and atoms, written as POSCAR:
```
CaBeCl
1.0
3.490 0.000 0.000
0.000 3.490 0.000
0.000 0.000 13.413
Ca Be Cl
2 2 2
direct
0.000 0.000 0.000 Ca
0.500 0.500 0.500 Ca
0.000 0.000 0.366 Be
0.500 0.500 0.866 Be
0.000 0.000 0.606 Cl
0.500 0.500 0.106 Cl
```

Output
SG: I4mm
magnetization: 0.000 μB/atom
formation energy without anion corrections: -326 meV/atom
theoretical density: 1.72 g/cm³
raw total energy: -8.6 eV/f.u.



[9]
CaBe2Cl after structural relaxation. Source: Alexandria via LeMat-Bulk, functional GGA-PBE.

Cell and atoms, written as POSCAR:
```
CaBe2Cl
1.0
4.243 0.000 0.000
0.000 4.243 0.000
0.000 0.000 8.260
Ca Be Cl
2 4 2
direct
0.000 0.000 0.000 Ca
0.500 0.500 0.500 Ca
0.000 0.000 0.500 Be
0.000 0.500 0.250 Be
0.500 0.000 0.750 Be
0.500 0.500 0.000 Be
0.000 0.500 0.750 Cl
0.500 0.000 0.250 Cl
```

Output
SG: I-4m2
magnetization: 0.000 μB/atom
formation energy without anion corrections: 302 meV/atom
theoretical density: 2.09 g/cm³
raw total energy: -10.1 eV/f.u.



[10]
Cs2CaBeCl6 after structural relaxation. Source: Alexandria via LeMat-Bulk, functional GGA-PBE.

Cell and atoms, written as POSCAR:
```
Cs2CaBeCl6
1.0
-3.546 3.546 5.562
3.546 -3.546 5.562
3.546 3.546 -5.562
Cs Ca Be Cl
2 1 1 6
direct
0.250 0.750 0.500 Cs
0.750 0.250 0.500 Cs
0.000 0.000 0.000 Ca
0.500 0.500 0.000 Be
0.241 0.241 0.000 Cl
0.280 0.280 0.560 Cl
0.280 0.720 0.000 Cl
0.720 0.280 0.000 Cl
0.720 0.720 0.440 Cl
0.759 0.759 0.000 Cl
```

Output
SG: I4/mmm
magnetization: 0.000 μB/atom
formation energy without anion corrections: -1831 meV/atom
theoretical density: 3.13 g/cm³
raw total energy: -36.8 eV/f.u.



[11]
CsCaBe2Cl8 after structural relaxation. Source: Alexandria via LeMat-Bulk, functional GGA-PBE.

Cell and atoms, written as POSCAR:
```
CsCaBe2Cl8
1.0
3.200 1.848 9.529
-3.200 1.848 9.529
0.000 -3.695 9.529
Cs Ca Be Cl
1 1 2 8
direct
0.000 0.000 0.000 Cs
0.500 0.500 0.500 Ca
0.244 0.244 0.244 Be
0.756 0.756 0.756 Be
0.076 0.786 0.471 Cl
0.214 0.529 0.924 Cl
0.315 0.315 0.315 Cl
0.471 0.076 0.786 Cl
0.529 0.924 0.214 Cl
0.685 0.685 0.685 Cl
0.786 0.471 0.076 Cl
0.924 0.214 0.529 Cl
```

Output
SG: R-3
magnetization: 0.101 μB/atom
formation energy without anion corrections: -1593 meV/atom
theoretical density: 2.33 g/cm³
raw total energy: -44.2 eV/f.u.



[12]
KCaBeCl5 after structural relaxation. Source: Alexandria via LeMat-Bulk, functional GGA-PBE.

Cell and atoms, written as POSCAR:
```
KCaBeCl5
1.0
4.414 -5.783 0.000
4.414 5.783 0.000
-3.949 0.000 8.820
K Ca Be Cl
2 2 2 10
direct
0.149 0.851 0.750 K
0.851 0.149 0.250 K
0.500 0.500 0.000 Ca
0.500 0.500 0.500 Ca
0.187 0.813 0.250 Be
0.813 0.187 0.750 Be
0.087 0.251 0.912 Cl
0.174 0.603 0.358 Cl
0.251 0.087 0.412 Cl
0.397 0.826 0.142 Cl
0.409 0.591 0.750 Cl
0.591 0.409 0.250 Cl
0.603 0.174 0.858 Cl
0.749 0.913 0.588 Cl
0.826 0.397 0.642 Cl
0.913 0.749 0.088 Cl
```

Output
SG: C2/c
magnetization: 0.000 μB/atom
formation energy without anion corrections: -1926 meV/atom
theoretical density: 1.96 g/cm³
raw total energy: -31.5 eV/f.u.



[13]
KCaBe2Cl8 after structural relaxation. Source: Alexandria via LeMat-Bulk, functional GGA-PBE.

Cell and atoms, written as POSCAR:
```
KCaBe2Cl8
1.0
3.149 1.818 9.039
-3.149 1.818 9.039
0.000 -3.636 9.039
K Ca Be Cl
1 1 2 8
direct
0.000 0.000 0.000 K
0.500 0.500 0.500 Ca
0.249 0.249 0.249 Be
0.751 0.751 0.751 Be
0.073 0.459 0.789 Cl
0.211 0.927 0.541 Cl
0.323 0.323 0.323 Cl
0.459 0.789 0.073 Cl
0.541 0.211 0.927 Cl
0.677 0.677 0.677 Cl
0.789 0.073 0.459 Cl
0.927 0.541 0.211 Cl
```

Output
SG: R-3
magnetization: 0.098 μB/atom
formation energy without anion corrections: -1565 meV/atom
theoretical density: 2.04 g/cm³
raw total energy: -44.1 eV/f.u.



[14]
KCa2BeCl after structural relaxation. Source: Alexandria via LeMat-Bulk, functional GGA-PBE.

Cell and atoms, written as POSCAR:
```
KCa2BeCl
1.0
5.483 0.000 0.000
0.000 5.483 0.000
0.000 0.000 6.168
K Ca Be Cl
1 2 1 1
direct
0.000 0.000 0.000 K
0.000 0.500 0.500 Ca
0.500 0.000 0.500 Ca
0.500 0.500 0.000 Be
0.500 0.500 0.500 Cl
```

Output
SG: P4/mmm
magnetization: 0.000 μB/atom
formation energy without anion corrections: 76 meV/atom
theoretical density: 1.47 g/cm³
raw total energy: -10.3 eV/f.u.



[15]
CaMg2BeCl after structural relaxation. Source: Alexandria via LeMat-Bulk, functional GGA-PBE.

Cell and atoms, written as POSCAR:
```
CaMg2BeCl
1.0
4.970 0.000 0.000
0.000 4.970 0.000
0.000 0.000 5.184
Ca Mg Be Cl
1 2 1 1
direct
0.000 0.000 0.000 Ca
0.000 0.500 0.500 Mg
0.500 0.000 0.500 Mg
0.500 0.500 0.000 Be
0.000 0.000 0.500 Cl
```

Output
SG: P4/mmm
magnetization: 0.000 μB/atom
formation energy without anion corrections: 219 meV/atom
theoretical density: 1.73 g/cm³
raw total energy: -9.7 eV/f.u.



[16]
Ca2BeNCl after structural relaxation. Source: Alexandria via LeMat-Bulk, functional GGA-PBE.

Cell and atoms, written as POSCAR:
```
Ca2BeNCl
1.0
4.771 0.000 0.000
0.000 4.771 0.000
0.000 0.000 4.795
Ca Be N Cl
2 1 1 1
direct
0.000 0.500 0.000 Ca
0.500 0.000 0.000 Ca
0.000 0.000 0.500 Be
0.500 0.500 0.000 N
0.500 0.500 0.500 Cl
```

Output
SG: P4/mmm
magnetization: 0.000 μB/atom
formation energy without anion corrections: 63 meV/atom
theoretical density: 2.11 g/cm³
raw total energy: -17.6 eV/f.u.



[17]
CaBeNCl2 after structural relaxation. Source: Alexandria via LeMat-Bulk, functional GGA-PBE.

Cell and atoms, written as POSCAR:
```
CaBeNCl2
1.0
5.345 0.000 0.000
0.000 5.345 0.000
0.000 0.000 3.158
Ca Be N Cl
1 1 1 2
direct
0.000 0.000 0.000 Ca
0.500 0.500 0.000 Be
0.500 0.500 0.500 N
0.000 0.500 0.500 Cl
0.500 0.000 0.500 Cl
```

Output
SG: P4/mmm
magnetization: 0.000 μB/atom
formation energy without anion corrections: -529 meV/atom
theoretical density: 2.47 g/cm³
raw total energy: -20.4 eV/f.u.



[18]
CaBe2ClO after structural relaxation. Source: Alexandria via LeMat-Bulk, functional GGA-PBE.

Cell and atoms, written as POSCAR:
```
CaBe2ClO
1.0
3.553 0.000 0.000
0.000 3.553 0.000
0.000 0.000 6.649
Ca Be Cl O
1 2 1 1
direct
0.000 0.000 0.000 Ca
0.000 0.500 0.500 Be
0.500 0.000 0.500 Be
0.500 0.500 0.000 Cl
0.500 0.500 0.500 O
```

Output
SG: P4/mmm
magnetization: 0.162 μB/atom
formation energy without anion corrections: -820 meV/atom
theoretical density: 2.17 g/cm³
raw total energy: -20.4 eV/f.u.



[19]
CaBePCl2 after structural relaxation. Source: Alexandria via LeMat-Bulk, functional GGA-PBE.

Cell and atoms, written as POSCAR:
```
CaBePCl2
1.0
5.172 0.000 0.000
0.000 5.172 0.000
0.000 0.000 5.968
Ca Be P Cl
1 1 1 2
direct
0.000 0.000 0.000 Ca
0.500 0.500 0.500 Be
0.000 0.000 0.500 P
0.000 0.500 0.000 Cl
0.500 0.000 0.000 Cl
```

Output
SG: P4/mmm
magnetization: 0.330 μB/atom
formation energy without anion corrections: 26 meV/atom
theoretical density: 1.57 g/cm³
raw total energy: -14.7 eV/f.u.



[20]
CaBePCl2 after structural relaxation. Source: Alexandria via LeMat-Bulk, functional GGA-PBE.

Cell and atoms, written as POSCAR:
```
CaBePCl2
1.0
4.666 0.000 0.000
0.000 4.666 0.000
0.000 0.000 4.531
Ca Be P Cl
1 1 1 2
direct
0.000 0.000 0.000 Ca
0.500 0.500 0.500 Be
0.500 0.500 0.000 P
0.000 0.500 0.500 Cl
0.500 0.000 0.500 Cl
```

Output
SG: P4/mmm
magnetization: 0.175 μB/atom
formation energy without anion corrections: -730 meV/atom
theoretical density: 2.54 g/cm³
raw total energy: -18.5 eV/f.u.



[21]
Rb2CaBeCl6 after structural relaxation. Source: Alexandria via LeMat-Bulk, functional GGA-PBE.

Cell and atoms, written as POSCAR:
```
Rb2CaBeCl6
1.0
-3.566 3.566 5.075
3.566 -3.566 5.075
3.566 3.566 -5.075
Rb Ca Be Cl
2 1 1 6
direct
0.250 0.750 0.500 Rb
0.750 0.250 0.500 Rb
0.000 0.000 0.000 Ca
0.500 0.500 0.000 Be
0.268 0.268 0.000 Cl
0.270 0.270 0.541 Cl
0.270 0.730 0.000 Cl
0.730 0.270 0.000 Cl
0.730 0.730 0.459 Cl
0.732 0.732 0.000 Cl
```

Output
SG: I4/mmm
magnetization: 0.000 μB/atom
formation energy without anion corrections: -1814 meV/atom
theoretical density: 2.78 g/cm³
raw total energy: -36.9 eV/f.u.



[22]
Ca2BeReCl after structural relaxation. Source: Alexandria via LeMat-Bulk, functional GGA-PBE.

Cell and atoms, written as POSCAR:
```
Ca2BeReCl
1.0
5.229 0.000 0.000
0.000 5.229 0.000
0.000 0.000 4.017
Ca Be Re Cl
2 1 1 1
direct
0.000 0.500 0.000 Ca
0.500 0.000 0.000 Ca
0.000 0.000 0.500 Be
0.500 0.500 0.500 Re
0.000 0.000 0.000 Cl
```

Output
SG: P4/mmm
magnetization: 0.411 μB/atom
formation energy without anion corrections: 677 meV/atom
theoretical density: 4.70 g/cm³
raw total energy: -18.6 eV/f.u.



[23]
CaBeS2Cl after structural relaxation. Source: Alexandria via LeMat-Bulk, functional GGA-PBE.

Cell and atoms, written as POSCAR:
```
CaBeS2Cl
1.0
4.321 0.000 0.000
0.000 4.321 0.000
0.000 0.000 5.031
Ca Be S Cl
1 1 2 1
direct
0.000 0.000 0.000 Ca
0.500 0.500 0.500 Be
0.000 0.500 0.500 S
0.500 0.000 0.500 S
0.500 0.500 0.000 Cl
```

Output
SG: P4/mmm
magnetization: 0.000 μB/atom
formation energy without anion corrections: -991 meV/atom
theoretical density: 2.63 g/cm³
raw total energy: -20.8 eV/f.u.



[24]
CaBeS2Cl after structural relaxation. Source: Alexandria via LeMat-Bulk, functional GGA-PBE.

Cell and atoms, written as POSCAR:
```
CaBeS2Cl
1.0
5.354 0.000 0.000
0.000 5.354 0.000
0.000 0.000 5.106
Ca Be S Cl
1 1 2 1
direct
0.000 0.000 0.000 Ca
0.500 0.500 0.500 Be
0.000 0.500 0.000 S
0.500 0.000 0.000 S
0.000 0.000 0.500 Cl
```

Output
SG: P4/mmm
magnetization: 0.244 μB/atom
formation energy without anion corrections: 234 meV/atom
theoretical density: 1.69 g/cm³
raw total energy: -14.7 eV/f.u.



[25]
CaBeSeCl2 after structural relaxation. Source: Alexandria via LeMat-Bulk, functional GGA-PBE.

Cell and atoms, written as POSCAR:
```
CaBeSeCl2
1.0
4.186 0.000 0.000
0.000 4.186 0.000
0.000 0.000 11.712
Ca Be Se Cl
1 1 1 2
direct
0.000 0.000 0.000 Ca
0.000 0.000 0.500 Be
0.500 0.500 0.000 Se
0.000 0.500 0.500 Cl
0.500 0.000 0.500 Cl
```

Output
SG: P4/mmm
magnetization: 0.000 μB/atom
formation energy without anion corrections: -1045 meV/atom
theoretical density: 1.61 g/cm³
raw total energy: -18.1 eV/f.u.



[26]
CaTa2BeCl after structural relaxation. Source: Alexandria via LeMat-Bulk, functional GGA-PBE.

Cell and atoms, written as POSCAR:
```
CaTa2BeCl
1.0
4.413 0.000 0.000
0.000 4.413 0.000
0.000 0.000 5.894
Ca Ta Be Cl
1 2 1 1
direct
0.000 0.000 0.000 Ca
0.000 0.500 0.500 Ta
0.500 0.000 0.500 Ta
0.000 0.000 0.500 Be
0.500 0.500 0.000 Cl
```

Output
SG: P4/mmm
magnetization: 0.500 μB/atom
formation energy without anion corrections: 768 meV/atom
theoretical density: 6.46 g/cm³
raw total energy: -27.4 eV/f.u.



[27]
Ca2BeTeCl after structural relaxation. Source: Alexandria via LeMat-Bulk, functional GGA-PBE.

Cell and atoms, written as POSCAR:
```
Ca2BeTeCl
1.0
5.241 0.000 0.000
0.000 5.241 0.000
0.000 0.000 5.856
Ca Be Te Cl
2 1 1 1
direct
0.000 0.500 0.000 Ca
0.500 0.000 0.000 Ca
0.000 0.000 0.500 Be
0.500 0.500 0.500 Te
0.500 0.500 0.000 Cl
```

Output
SG: P4/mmm
magnetization: 0.000 μB/atom
formation energy without anion corrections: -14 meV/atom
theoretical density: 2.60 g/cm³
raw total energy: -12.8 eV/f.u.